{"formula": "Pm2Sm2YMg2", "functional": "PBE", "state": "optimized geometry", "dos_ef_per_ev_fu": 7.995, "vol_a3_per_cell": 216, "e_tot_ev_per_atom": -4.11, "spacegroup": "R-3m, No. 166", "e_form_mev_per_atom": -23, "density_g_cm3": 5.6, "cell": [[5.533, 0.000, 0.000], [2.767, 4.792, 0.000], [2.767, 1.597, 8.163]], "species": ["Pm", "Pm", "Y", "Mg", "Mg", "Sm", "Sm"], "fractional_positions": [[0.156, 0.156, 0.532], [0.844, 0.844, 0.468], [0.000, 0.000, 0.000], [0.290, 0.290, 0.130], [0.710, 0.710, 0.870], [0.426, 0.426, 0.722], [0.574, 0.574, 0.278]]}

{"formula": "Pm3Sm2Y6Mg", "functional": "PBE", "state": "optimized geometry", "dos_ef_per_ev_fu": 18.533, "vol_a3_per_cell": 388, "e_tot_ev_per_atom": -5.32, "spacegroup": "C2/m, No. 12", "e_form_mev_per_atom": 24, "density_g_cm3": 5.5, "cell": [[-1.349, -5.113, -3.236], [-0.546, -0.002, 6.176], [-10.437, 5.252, -1.961]], "species": ["Sm", "Sm", "Y", "Y", "Y", "Y", "Y", "Y", "Pm", "Pm", "Pm", "Mg"], "fractional_positions": [[0.666, 0.334, 0.000], [0.334, 0.666, 0.000], [0.413, 0.082, 0.247], [0.587, 0.918, 0.753], [0.751, 0.751, 0.248], [0.918, 0.587, 0.753], [0.082, 0.413, 0.247], [0.249, 0.249, 0.752], [0.500, 0.500, 0.500], [0.166, 0.834, 0.500], [0.834, 0.166, 0.500], [0.000, 0.000, 0.000]]}

Number 1: magnetic moment 0.000 μB per formula unit. Number 2: magnetic moment 0.000 μB per formula unit.